(1)
HfTh2TaN5: optimized geometry, PBE-GGA.

Computed properties:
ΔE_f (raw) = -1.492 eV per atom

Cell lengths 7.0470, 7.0470, 10.6288 Å; angles 90.00, 90.00, 151.77 degrees
Closest atoms and distances in Å follow each position.
Positions (direct):
Hf  0.2161  0.7839  0.5000  6 N 2.16-2.30
Hf  0.7839  0.2161  0.0000  6 N 2.16-2.30
Th  0.1089  0.8911  0.1779  6 N 2.36-2.62
Th  0.1461  0.8539  0.7840  5 N 2.49-2.56
Th  0.8539  0.1461  0.2840  5 N 2.49-2.56
Th  0.8911  0.1089  0.6779  6 N 2.36-2.62
Ta  0.4720  0.5280  0.9538  5 N 2.01-2.24
Ta  0.5280  0.4720  0.4538  5 N 2.01-2.24
N  0.0535  0.9465  0.5486  2 Ta 2.02
N  0.2793  0.7207  0.1443  2 Hf 2.30, 3 Th 2.36-2.49
N  0.3209  0.6791  0.8711  1 Ta 2.24, 2 Hf 2.26
N  0.3741  0.6259  0.4930  1 Ta 2.14, 1 Hf 2.16
N  0.4896  0.5104  0.2710  1 Ta 2.01
N  0.5104  0.4896  0.7710  1 Ta 2.01
N  0.6259  0.3741  0.9930  1 Ta 2.14, 1 Hf 2.16
N  0.6791  0.3209  0.3711  1 Ta 2.24, 2 Hf 2.26
N  0.7207  0.2793  0.6443  2 Hf 2.30, 3 Th 2.36-2.49
N  0.9465  0.0535  0.0486  2 Ta 2.02

=====

(2)
TbNd3Ni8: optimized geometry, PBE-GGA.

Computed properties:
energy of formation from the pure elements = -0.340 eV/atom

Cell lengths 8.9338, 8.9338, 8.9338 Å; angles 33.48, 33.48, 33.48 degrees
Closest atoms and distances in Å follow each position.
Positions (direct):
Tb  0.0000  0.0000  0.0000  12 Ni 3.00-3.02, 4 Nd 3.15
Nd  0.1246  0.1246  0.1246  12 Ni 3.02-3.06, 1 Tb 3.15, 3 Nd 3.16
Nd  0.5002  0.5002  0.5002  12 Ni 3.02-3.05, 4 Nd 3.16
Nd  0.6254  0.6254  0.6254  12 Ni 2.99-3.02, 3 Tb 3.15, 1 Nd 3.16
Ni  0.0614  0.5617  0.5617  6 Ni 2.55-2.60
Ni  0.0624  0.0624  0.5655  6 Ni 2.56-2.59
Ni  0.0624  0.5655  0.0624  6 Ni 2.56-2.59
Ni  0.3129  0.3129  0.3129  6 Ni 2.55-2.57
Ni  0.5617  0.0614  0.5617  6 Ni 2.55-2.60
Ni  0.5617  0.5617  0.0614  6 Ni 2.55-2.60
Ni  0.5655  0.0624  0.0624  6 Ni 2.56-2.59
Ni  0.8125  0.8125  0.8125  6 Ni 2.59-2.60

=====

VASP energy values, unit eV/atom, following the record order: -10.189; -5.772.
DOS(E_F) values, unit states/eV per cell, following the record order: 6.38; 8.25.